4
Lattice="2.161 1.248 8.500 -2.161 1.248 8.500 0.000 -2.495 8.500" Properties=species:S:1:pos:R:3 comment="Pr2TlSb (PBE, optimized geometry)" rho_kg_m3=7341 relative_energy_mev_per_atom=138 m_tot_mub_per_cell=0.0 sg=R3m pbc="T T T"
Pr 0.000 0.000 0.000
Pr 0.000 0.000 4.659
Tl 0.000 0.000 19.334
Sb 0.000 0.000 15.050

***

9
Lattice="7.634 -2.539 0.000 7.634 2.539 0.000 -2.509 0.000 7.647" Properties=species:S:1:pos:R:3 comment="LaPm4Ho2Tm2 (PBE, optimized geometry)" rho_kg_m3=7768 e_form_ev_per_atom=0.02 m_tot_mub_per_cell=0.0 sg=C2/m pbc="T T T"
La 0.000 0.000 0.000
Pm 2.576 0.000 2.534
Pm 5.123 0.000 5.098
Pm 7.636 0.000 2.549
Pm 10.183 0.000 5.113
Ho 0.032 0.000 5.093
Ho 12.727 0.000 2.554
Tm 5.047 0.000 0.010
Tm 7.712 0.000 7.637

***

6
Lattice="-1.585 1.585 11.509 1.585 -1.585 11.509 1.585 1.585 -11.509" Properties=species:S:1:pos:R:3 comment="TiSnMo (PBE, optimized geometry)" rho_kg_m3=7536 e_form_ev_per_atom=-0.17 m_tot_mub_per_cell=0.0 sg=I4/mmm pbc="T T T"
Ti 0.000 0.000 3.387
Ti 0.000 0.000 19.632
Sn 0.000 0.000 10.054
Sn 0.000 0.000 12.965
Mo 0.000 0.000 6.501
Mo 0.000 0.000 16.517

***

6
Lattice="0.000 3.663 3.663 3.663 0.000 3.663 3.663 3.663 0.000" Properties=species:S:1:pos:R:3 comment="IrOs4Cl (PBE, optimized geometry)" rho_kg_m3=16701 dft_energy_ev_per_atom=-7.79 m_tot_mub_per_cell=1.2 sg=F-43m pbc="T T T"
Ir 0.000 0.000 0.000
Os 2.745 2.745 2.745
Os 4.581 4.581 2.745
Os 4.581 2.745 4.581
Os 2.745 4.581 4.581
Cl 5.494 5.494 5.494

***

10
Lattice="7.501 0.000 0.000 0.000 7.501 0.000 0.000 0.000 3.455" Properties=species:S:1:pos:R:3 comment="Ti2Hg2Au (PBE, optimized geometry)" rho_kg_m3=11855 e_form_ev_per_atom=0.11 relative_energy_mev_per_atom=0 m_tot_mub_per_cell=2.2 sg=P4/mbm pbc="T T T"
Ti 1.244 2.507 0.000
Ti 2.507 6.258 0.000
Ti 4.995 1.244 0.000
Ti 6.258 4.995 0.000
Hg 1.015 4.766 1.727
Hg 2.736 1.015 1.727
Hg 4.766 6.486 1.727
Hg 6.486 2.736 1.727
Au 0.000 0.000 1.727
Au 3.751 3.751 1.727

***

5
Lattice="5.523 0.000 0.000 0.000 5.523 0.000 0.000 0.000 5.408" Properties=species:S:1:pos:R:3 comment="NaCa2TlPd (PBE, optimized geometry)" rho_kg_m3=4166 e_form_ev_per_atom=-0.20 relative_energy_mev_per_atom=73 m_tot_mub_per_cell=0.0 sg=P4/mmm pbc="T T T"
Na 0.000 0.000 0.000
Ca 0.000 2.762 2.704
Ca 2.762 0.000 2.704
Tl 2.762 2.762 0.000
Pd 0.000 0.000 2.704

***

4
Lattice="3.127 0.000 0.000 0.000 3.127 0.000 0.000 0.000 9.183" Properties=species:S:1:pos:R:3 comment="LaCe2N (PBE, optimized geometry)" rho_kg_m3=8012 relative_energy_mev_per_atom=347 m_tot_mub_per_cell=0.0 sg=P4/mmm pbc="T T T"
La 0.000 0.000 0.000
Ce 1.563 1.563 3.170
Ce 1.563 1.563 6.013
N 0.000 0.000 4.592

***

4
Lattice="4.027 0.000 0.000 0.000 4.027 0.000 0.000 0.000 10.103" Properties=species:S:1:pos:R:3 comment="SrCa2Ho (PBE, optimized geometry)" rho_kg_m3=3372 e_form_ev_per_atom=0.11 relative_energy_mev_per_atom=0 m_tot_mub_per_cell=0.0 sg=P4/mmm pbc="T T T"
Sr 0.000 0.000 0.000
Ca 2.014 2.014 2.844
Ca 2.014 2.014 7.259
Ho 0.000 0.000 5.051